SrCd9Sn2 | PBE-GGA | relaxed

Energy relative to the elements = -0.094 eV per atom
E_tot = -19.1 eV per formula unit
Symmetry = I4_1/amd (141)
Magnetic moment = 0.000 μB/atom

a = 8.5506 Å, b = 9.5052 Å, c = 9.5052 Å
α = 78.33°, β = 63.27°, γ = 63.27°
Closest atoms and distances in Å follow each position.
Sites, in units of the cell vectors:
Sr 0.5000 0.0000 0.0000  16 Cd 3.80
Sr 0.2500 0.5000 0.5000  16 Cd 3.80
Cd 0.7500 0.5000 0.5000  4 Sn 3.19, 8 Cd 3.39
Cd 0.0000 0.0000 0.0000  4 Sn 3.19, 8 Cd 3.39
Cd 0.9985 0.9117 0.6723  5 Cd 2.87-3.16, 1 Sn 3.03
Cd 0.5824 0.0883 0.3277  5 Cd 2.87-3.16, 1 Sn 3.03
Cd 0.6601 0.1723 0.5883  5 Cd 2.87-3.16, 1 Sn 3.03
Cd 0.4207 0.8277 0.4117  5 Cd 2.87-3.16, 1 Sn 3.03
Cd 0.7515 0.8277 0.5883  5 Cd 2.87-3.16, 1 Sn 3.03
Cd 0.1676 0.1723 0.4117  5 Cd 2.87-3.16, 1 Sn 3.03
Cd 0.0899 0.9117 0.3277  5 Cd 2.87-3.16, 1 Sn 3.03
Cd 0.3293 0.0883 0.6723  5 Cd 2.87-3.16, 1 Sn 3.03
Cd 0.7515 0.5883 0.8277  5 Cd 2.87-3.16, 1 Sn 3.03
Cd 0.1676 0.4117 0.1723  5 Cd 2.87-3.16, 1 Sn 3.03
Cd 0.0899 0.3277 0.9117  5 Cd 2.87-3.16, 1 Sn 3.03
Cd 0.3293 0.6723 0.0883  5 Cd 2.87-3.16, 1 Sn 3.03
Cd 0.9985 0.6723 0.9117  5 Cd 2.87-3.16, 1 Sn 3.03
Cd 0.5824 0.3277 0.0883  5 Cd 2.87-3.16, 1 Sn 3.03
Cd 0.6601 0.5883 0.1723  5 Cd 2.87-3.16, 1 Sn 3.03
Cd 0.4207 0.4117 0.8277  5 Cd 2.87-3.16, 1 Sn 3.03
Sn 0.8750 0.2500 0.7500  10 Cd 3.03-3.24
Sn 0.8750 0.7500 0.2500  10 Cd 3.03-3.24
Sn 0.8750 0.2500 0.2500  10 Cd 3.03-3.24
Sn 0.3750 0.7500 0.7500  10 Cd 3.03-3.24

---

UTl3I6Br2 | PBE-GGA | relaxed

E_tot = -39.9 eV per formula unit
Formation energy without anion corrections = -0.742 eV/atom
Symmetry = C2/m (12)
Magnetic moment = 0.081 μB/atom

a = 7.2636 Å, b = 9.3596 Å, c = 9.9850 Å
α = 117.95°, β = 98.78°, γ = 90.00°
Closest atoms and distances in Å follow each position.
Sites, in units of the cell vectors:
U 0.5000 0.0000 0.0000  6 I 2.94
Tl 0.0000 0.5000 0.0000  2 Br 3.16
Tl 0.5000 0.5000 0.5000  2 Br 3.19, 2 I 3.56
Tl 0.5000 0.0000 0.5000  2 Br 3.19, 2 I 3.56
I 0.7330 0.3091 0.1733  1 U 2.94
I 0.2670 0.6909 0.8267  1 U 2.94
I 0.7435 0.8832 0.7663  1 U 2.94
I 0.2565 0.1168 0.2337  1 U 2.94
I 0.2670 0.1358 0.8267  1 U 2.94
I 0.7330 0.8642 0.1733  1 U 2.94
Br 0.2430 0.6669 0.3339  3 Tl 3.16-3.19
Br 0.7570 0.3331 0.6661  3 Tl 3.16-3.19

---

Rb2SbI4 | PBE-GGA | relaxed

E_tot = -18.5 eV per formula unit
Polymorph energy (0 for the lowest one) = 3 meV/atom
Formation energy without anion corrections = -0.895 eV/atom
Symmetry = I4/mmm (139)
Magnetic moment = 0.000 μB/atom

a = 6.2714 Å, b = 6.2714 Å, c = 10.1489 Å
α = 108.00°, β = 108.00°, γ = 90.00°
Closest atoms and distances in Å follow each position.
Sites, in units of the cell vectors:
I 0.8324 0.8324 0.6649  1 Sb 3.06
I 0.1676 0.1676 0.3351  1 Sb 3.06
I 0.0000 0.5000 0.0000  2 Sb 3.14
I 0.5000 0.0000 0.0000  2 Sb 3.14
Sb 0.0000 0.0000 0.0000  6 I 3.06-3.14
Rb 0.6319 0.6319 0.2639  5 I 3.66-3.95
Rb 0.3681 0.3681 0.7361  5 I 3.66-3.95

---

Np3Tl4AgO12 | PBE-GGA | relaxed

E_tot = -149.7 eV per formula unit
Formation energy without anion corrections = -1.951 eV/atom
Symmetry = Im-3m (229)
Magnetic moment = 0.100 μB/atom

a = 7.5701 Å, b = 7.5701 Å, c = 7.5701 Å
α = 109.47°, β = 109.47°, γ = 109.47°
Closest atoms and distances in Å follow each position.
Sites, in units of the cell vectors:
Np 0.5000 0.0000 0.5000  2 O 1.89
Np 0.5000 0.5000 0.0000  2 O 1.89
Np 0.0000 0.5000 0.5000  2 O 1.89
Tl 0.5000 0.5000 0.5000  12 O 3.09-3.10
Tl 0.0000 0.0000 0.5000  12 O 3.09-3.10
Tl 0.5000 0.0000 0.0000  12 O 3.09-3.10
Tl 0.0000 0.5000 0.0000  12 O 3.09-3.10
Ag 0.0000 0.0000 0.0000  6 O 2.48
O 0.2500 0.5000 0.7500  2 Np 2.19
O 0.7165 0.0000 0.7165  1 Np 1.89
O 0.2835 0.0000 0.2835  1 Np 1.89
O 0.7500 0.5000 0.2500  2 Np 2.19
O 0.7165 0.7165 0.0000  1 Np 1.89
O 0.2835 0.2835 0.0000  1 Np 1.89
O 0.7500 0.2500 0.5000  2 Np 2.19
O 0.2500 0.7500 0.5000  2 Np 2.19
O 0.5000 0.2500 0.7500  2 Np 2.19
O 0.0000 0.7165 0.7165  1 Np 1.89
O 0.5000 0.7500 0.2500  2 Np 2.19
O 0.0000 0.2835 0.2835  1 Np 1.89

---

Sr6Sb2Te3I | PBE-GGA | relaxed

E_tot = -46.4 eV per formula unit
Formation energy without anion corrections = -1.422 eV/atom
Symmetry = C2/m (12)
Magnetic moment = 0.000 μB/atom

a = 4.6031 Å, b = 9.8738 Å, c = 10.7263 Å
α = 103.54°, β = 102.39°, γ = 90.00°
Closest atoms and distances in Å follow each position.
Sites, in units of the cell vectors:
Sr 0.3254 0.9122 0.6508  2 Sb 3.35, 3 Te 3.35-3.36, 1 I 3.55
Sr 0.6694 0.5853 0.3389  3 Sb 3.37-3.41, 3 Te 3.41-3.45
Sr 0.6746 0.0878 0.3492  2 Sb 3.35, 3 Te 3.35-3.36, 1 I 3.55
Sr 0.0036 0.2681 0.0073  3 Te 3.26-3.34, 1 Sb 3.29, 2 I 3.49
Sr 0.9964 0.7319 0.9927  3 Te 3.26-3.34, 1 Sb 3.29, 2 I 3.49
Sr 0.3306 0.4147 0.6611  3 Sb 3.37-3.41, 3 Te 3.41-3.45
Sb 0.8351 0.6711 0.6701  6 Sr 3.29-3.41
Sb 0.1649 0.3289 0.3299  6 Sr 3.29-3.41
Te 0.5000 0.5000 0.0000  6 Sr 3.26-3.45
Te 0.8396 0.1644 0.6791  6 Sr 3.34-3.41
Te 0.1604 0.8356 0.3209  6 Sr 3.34-3.41
I 0.5000 0.0000 0.0000  6 Sr 3.49-3.55

---

Tb4Ni2Br5 | PBE-GGA | relaxed

E_tot = -50.9 eV per formula unit
Formation energy without anion corrections = -1.136 eV/atom
Symmetry = C2/m (12)
Magnetic moment = 0.000 μB/atom

a = 3.8930 Å, b = 8.1834 Å, c = 11.5227 Å
α = 88.05°, β = 99.73°, γ = 90.00°
Closest atoms and distances in Å follow each position.
Sites, in units of the cell vectors:
Tb 0.6560 0.5406 0.3121  1 Ni 2.49
Tb 0.0152 0.7048 0.0304  4 Ni 2.76-2.90, 1 Br 3.09
Tb 0.3440 0.4594 0.6879  1 Ni 2.49
Tb 0.9848 0.2952 0.9696  4 Ni 2.76-2.90, 1 Br 3.09
Ni 0.5491 0.4812 0.0982  1 Ni 2.24, 1 Tb 2.49
Ni 0.4509 0.5188 0.9018  1 Ni 2.24, 1 Tb 2.49
Br 0.1450 0.8043 0.2900  3 Tb 2.91-3.09
Br 0.8550 0.1957 0.7100  3 Tb 2.91-3.09
Br 0.2126 0.3276 0.4252  3 Tb 2.88-3.21
Br 0.5000 0.0000 0.0000  4 Tb 3.11
Br 0.7874 0.6724 0.5748  3 Tb 2.88-3.21

---

LiDy2In3 | PBE-GGA | relaxed

Energy relative to the elements = -0.414 eV per atom
E_tot = -21.8 eV per formula unit
Symmetry = Fmmm (69)
Magnetic moment = 0.000 μB/atom

a = 6.0468 Å, b = 6.0468 Å, c = 9.1847 Å
α = 103.11°, β = 103.11°, γ = 108.12°
Closest atoms and distances in Å follow each position.
Sites, in units of the cell vectors:
Li 0.6683 0.6683 0.3367  3 In 2.71-2.74
Li 0.3317 0.3317 0.6633  3 In 2.71-2.74
Dy 0.2500 0.7500 0.5000  8 In 3.29-3.30, 4 Li 3.32, 2 Dy 3.55
Dy 0.7506 0.7506 0.0000  10 In 3.30-3.42, 2 Li 3.36, 2 Dy 3.54-3.56
Dy 0.7500 0.2500 0.5000  8 In 3.29-3.30, 4 Li 3.32, 2 Dy 3.55
Dy 0.2494 0.2494 0.0000  10 In 3.30-3.42, 2 Li 3.36, 2 Dy 3.54-3.56
In 0.3454 0.8282 0.1736  1 Li 2.74, 2 In 2.91-2.94
In 0.1718 0.6546 0.8264  1 Li 2.74, 2 In 2.91-2.94
In 0.6546 0.1718 0.8264  1 Li 2.74, 2 In 2.91-2.94
In 0.8282 0.3454 0.1736  1 Li 2.74, 2 In 2.91-2.94
In 0.1719 0.1719 0.3439  1 Li 2.71, 2 In 2.91
In 0.8281 0.8281 0.6561  1 Li 2.71, 2 In 2.91

---

Ac4AsP2S | PBE-GGA | relaxed

E_tot = -49.3 eV per formula unit
Formation energy without anion corrections = -1.654 eV/atom
Symmetry = Imma (74)
Magnetic moment = 0.000 μB/atom

a = 8.8825 Å, b = 8.8825 Å, c = 8.8804 Å
α = 119.99°, β = 119.99°, γ = 89.95°
Closest atoms and distances in Å follow each position.
Sites, in units of the cell vectors:
Ac 0.2560 0.7522 0.0041  3 P 3.12, 1 S 3.16, 2 As 3.17
Ac 0.7478 0.2440 0.4959  3 P 3.12, 1 S 3.16, 2 As 3.17
Ac 0.2522 0.7560 0.5041  3 P 3.12, 1 S 3.16, 2 As 3.17
Ac 0.7440 0.2478 0.9959  3 P 3.12, 1 S 3.16, 2 As 3.17
Ac 0.7478 0.7521 0.0049  3 P 3.11, 1 As 3.17, 2 S 3.17
Ac 0.7479 0.7522 0.4951  3 P 3.11, 1 As 3.17, 2 S 3.17
Ac 0.2521 0.2478 0.5049  3 P 3.11, 1 As 3.17, 2 S 3.17
Ac 0.2522 0.2479 0.9951  3 P 3.11, 1 As 3.17, 2 S 3.17
As 0.0000 0.5000 0.0000  6 Ac 3.17
As 0.0000 0.5000 0.5000  6 Ac 3.17
P 0.5000 0.0000 0.0000  6 Ac 3.11-3.12
P 0.5000 0.0000 0.5000  6 Ac 3.11-3.12
P 0.0000 0.0000 0.5000  6 Ac 3.11-3.12
P 0.5000 0.5000 0.0000  6 Ac 3.11-3.12
S 0.5000 0.5000 0.5000  6 Ac 3.16-3.17
S 0.0000 0.0000 0.0000  6 Ac 3.16-3.17

---

Pu2UPa4 | PBE-GGA | relaxed

Energy relative to the elements = 0.189 eV per atom
E_tot = -76.6 eV per formula unit
Symmetry = R-3m (166)
Magnetic moment = 1.033 μB/atom

a = 5.1047 Å, b = 5.1047 Å, c = 7.8419 Å
α = 71.01°, β = 71.01°, γ = 60.00°
Closest atoms and distances in Å follow each position.
Sites, in units of the cell vectors:
Pu 0.7347 0.7347 0.7959  5 Pa 2.85-3.08
Pu 0.2653 0.2653 0.2041  5 Pa 2.85-3.08
U 0.0000 0.0000 0.0000  2 Pa 2.93
Pa 0.8655 0.8655 0.4036  1 Pu 2.85, 1 U 2.93
Pa 0.1345 0.1345 0.5964  1 Pu 2.85, 1 U 2.93
Pa 0.5932 0.5932 0.2204  4 Pu 2.95-3.08, 3 Pa 3.23
Pa 0.4068 0.4068 0.7796  4 Pu 2.95-3.08, 3 Pa 3.23

---

Tb3Cd2 | PBE-GGA | relaxed

Energy relative to the elements = -0.239 eV per atom
E_tot = -16.9 eV per formula unit
Polymorph energy (0 for the lowest one) = 0 meV/atom
Symmetry = P4/mmm (123)
Magnetic moment = 0.046 μB/atom

a = 3.6983 Å, b = 3.6983 Å, c = 20.3099 Å
α = 90.00°, β = 90.00°, γ = 90.00°
Closest atoms and distances in Å follow each position.
Sites, in units of the cell vectors:
Tb 0.0000 0.0000 0.8800  4 Cd 3.26, 4 Tb 3.57
Tb 0.0000 0.0000 0.1200  4 Cd 3.26, 4 Tb 3.57
Tb 0.0000 0.0000 0.3110  8 Cd 3.24-3.26
Tb 0.0000 0.0000 0.5000  8 Cd 3.25
Tb 0.0000 0.0000 0.6890  8 Cd 3.24-3.26
Tb 0.5000 0.5000 0.0000  12 Tb 3.57-3.70
Cd 0.5000 0.5000 0.2156  8 Tb 3.26
Cd 0.5000 0.5000 0.4049  8 Tb 3.24-3.25
Cd 0.5000 0.5000 0.5951  8 Tb 3.24-3.25
Cd 0.5000 0.5000 0.7844  8 Tb 3.26

---

CeTmPa | PBE-GGA | relaxed

Energy relative to the elements = 0.112 eV per atom
E_tot = -19.6 eV per formula unit
Polymorph energy (0 for the lowest one) = 49 meV/atom
Symmetry = I4mm (107)
Magnetic moment = 0.001 μB/atom

a = 3.2717 Å, b = 3.2717 Å, c = 7.9854 Å
α = 101.82°, β = 101.82°, γ = 90.00°
Closest atoms and distances in Å follow each position.
Sites, in units of the cell vectors:
Pa 0.3316 0.3316 0.6632  4 Pa 3.27, 4 Ce 3.31, 4 Tm 3.37
Tm 0.9920 0.9920 0.9840  4 Tm 3.27, 4 Pa 3.37, 4 Ce 3.65
Ce 0.6764 0.6764 0.3529  4 Ce 3.27, 4 Pa 3.31, 4 Tm 3.65

---

Y2Ga2CuNi5 | PBE-GGA | relaxed

Energy relative to the elements = -0.266 eV per atom
E_tot = -54.6 eV per formula unit
Symmetry = P4/mbm (127)
Magnetic moment = 0.000 μB/atom

a = 3.3850 Å, b = 9.5081 Å, c = 9.5081 Å
α = 90.00°, β = 90.00°, γ = 90.00°
Closest atoms and distances in Å follow each position.
Sites, in units of the cell vectors:
Y 0.0000 0.6758 0.1758  3 Ga 2.70-2.89, 2 Ni 2.91
Y 0.0000 0.3242 0.8242  3 Ga 2.70-2.89, 2 Ni 2.91
Y 0.0000 0.1758 0.3242  3 Ga 2.70-2.89, 2 Ni 2.91
Y 0.0000 0.8242 0.6758  3 Ga 2.70-2.89, 2 Ni 2.91
Ga 0.0000 0.1232 0.6232  6 Ni 2.37-2.50
Ga 0.0000 0.8768 0.3768  6 Ni 2.37-2.50
Ga 0.0000 0.6232 0.8768  6 Ni 2.37-2.50
Ga 0.0000 0.3768 0.1232  6 Ni 2.37-2.50
Cu 0.0000 0.0000 0.0000  8 Ni 2.57
Cu 0.0000 0.5000 0.5000  8 Ni 2.57
Ni 0.5000 0.1957 0.0551  2 Ga 2.50, 2 Cu 2.57, 2 Ni 2.73
Ni 0.5000 0.8043 0.9449  2 Ga 2.50, 2 Cu 2.57, 2 Ni 2.73
Ni 0.5000 0.0551 0.8043  2 Ga 2.50, 2 Cu 2.57, 2 Ni 2.73
Ni 0.5000 0.6957 0.4449  2 Ga 2.50, 2 Cu 2.57, 2 Ni 2.73
Ni 0.5000 0.9449 0.1957  2 Ga 2.50, 2 Cu 2.57, 2 Ni 2.73
Ni 0.5000 0.3043 0.5551  2 Ga 2.50, 2 Cu 2.57, 2 Ni 2.73
Ni 0.5000 0.5551 0.6957  2 Ga 2.50, 2 Cu 2.57, 2 Ni 2.73
Ni 0.5000 0.4449 0.3043  2 Ga 2.50, 2 Cu 2.57, 2 Ni 2.73
Ni 0.5000 0.5000 0.0000  4 Ga 2.37
Ni 0.5000 0.0000 0.5000  4 Ga 2.37

---

> Number 11 is which compound?

CeTmPa

---

> Which formula does entry 12 have?

Y2Ga2CuNi5

---

> magnetic moment of number 10 (Tb3Cd2)?

0.046 μB/atom

---

> Look up the magnetic moment of the third one.

0.000 μB/atom